# NiOsW

NiOsW at its PBEsol-relaxed geometry (meta-GGA SCAN, Alexandria).

Structure (extended XYZ):
```
3
Lattice="2.6621 0.0000 0.0000 0.0000 3.8168 0.0000 -1.3310 -1.9084 3.9812" Properties=species:S:1:pos:R:3 pbc="T T T"
Ni 0.0000 0.0000 0.0211
Os 1.3310 1.9084 1.2958
W 0.0000 0.0000 2.6643
```

Calculated values
- Total DFT energy (no corrections): -52.51 eV/atom


# NiOsW2

NiOsW2 at its PBEsol-relaxed geometry (meta-GGA SCAN, Alexandria).

Structure (extended XYZ):
```
4
Lattice="3.8337 0.0000 0.0000 0.0000 3.8337 0.0000 -1.9169 -1.9169 3.7991" Properties=species:S:1:pos:R:3 pbc="T T T"
W 1.9169 0.0000 1.8995
W 0.0000 1.9169 1.8995
Os 0.0000 0.0000 0.0000
Ni 1.9169 1.9169 0.0000
```

Calculated values
- Total DFT energy (no corrections): -56.86 eV/atom


# YNiOs2

YNiOs2 at its PBEsol-relaxed geometry (meta-GGA SCAN, Alexandria).

Structure (extended XYZ):
```
4
Lattice="-0.2795 3.9397 2.0315 -3.6200 2.5186 -0.5274 -2.8270 0.5603 3.3794" Properties=species:S:1:pos:R:3 pbc="T T T"
Y -3.3633 3.5093 2.4418
Ni 0.0000 0.0000 0.0000
Os -1.6816 1.7546 1.2209
Os -5.0449 5.2639 3.6626
```

Calculated values
- Total DFT energy (no corrections): -46.35 eV/atom


# YNiOs2

YNiOs2 at its PBEsol-relaxed geometry (meta-GGA SCAN, Alexandria).

Structure (extended XYZ):
```
4
Lattice="2.7545 0.0000 0.0000 1.3772 2.3855 0.0000 1.3772 0.7952 9.2498" Properties=species:S:1:pos:R:3 pbc="T T T"
Os 1.3772 0.7952 2.6350
Os 4.1317 2.3855 6.6148
Y 0.0000 0.0000 0.0000
Ni 2.7545 1.5903 4.6249
```

Calculated values
- Total DFT energy (no corrections): -46.34 eV/atom


# YNiOs2

YNiOs2 at its PBEsol-relaxed geometry (meta-GGA SCAN, Alexandria).

Structure (extended XYZ):
```
4
Lattice="-2.0569 2.5163 -2.0091 -3.2078 -1.3941 1.5380 2.9472 2.2684 3.4569" Properties=species:S:1:pos:R:3 pbc="T T T"
Ni 0.0000 0.0000 0.0000
Os -0.8710 2.6729 0.6061
Os -1.4465 0.7177 2.3797
Y -2.6323 0.5611 -0.2355
```

Calculated values
- Total DFT energy (no corrections): -46.57 eV/atom


# ZnNi2Os

ZnNi2Os at its PBEsol-relaxed geometry (meta-GGA SCAN, Alexandria).

Structure (extended XYZ):
```
4
Lattice="2.5532 0.0000 0.0000 0.0000 4.4469 0.0074 0.0000 -1.4582 4.2010" Properties=species:S:1:pos:R:3 pbc="T T T"
Ni 0.0000 -0.7291 2.1005
Ni 0.0000 2.2234 0.0037
Zn 1.2766 0.0000 0.0000
Os 1.2766 1.4943 2.1042
```

Calculated values
- Total DFT energy (no corrections): -29.41 eV/atom


The records above yield magnetic moment values of 0.0 0.0 2.2 0.0 0.0 0.0 Bohr magnetons per cell, respectively.